# TcO3 GGA-PBE relaxed
data_TcO3
_chemical_formula_sum 'Tc4 O12'
_space_group_name_H-M_alt 'P 1'
_space_group_IT_number 1
_cell_length_a 4.9418
_cell_length_b 4.9648
_cell_length_c 9.6931
_cell_angle_alpha 95.35
_cell_angle_beta 99.71
_cell_angle_gamma 116.49
loop_
_space_group_symop_operation_xyz
'x,y,z'
loop_
_atom_site_label
_atom_site_type_symbol
_atom_site_fract_x
_atom_site_fract_y
_atom_site_fract_z
Tc1 Tc 0.0000 0.0000 0.0000
Tc2 Tc 0.1310 0.7087 0.5794
Tc3 Tc 0.3273 0.5102 0.2896
Tc4 Tc 0.7411 0.3230 0.9939
O1 O 0.0382 0.5713 0.3804
O2 O 0.0514 0.6919 0.1149
O3 O 0.2041 0.4514 0.6613
O4 O 0.3311 0.0148 0.9195
O5 O 0.3813 0.2582 0.3826
O6 O 0.4078 0.4004 0.1202
O7 O 0.4569 0.0568 0.6271
O8 O 0.6446 0.8560 0.3577
O9 O 0.6830 0.6406 0.8977
O10 O 0.8289 0.7399 0.6290
O11 O 0.8547 0.1343 0.1525
O12 O 0.9140 0.2386 0.8559
# V ... 206 Å³/cell
# Raw total energy ... -7.47 eV per atom
# Total magnetic moment ... 0.0 μB/cell